Entry 1:
The following is a DFT calculation (GGA-PBEsol) of a relaxed structure of CuPdC2.

Cell: 4.553 4.553 5.542 Å, 114.25 114.25 90.00°
Atoms (fractional coordinates):
Pd1 0.000 0.000 0.000
C1 0.383 0.875 0.250
C2 0.125 0.133 0.750
Pd2 0.250 0.750 0.500
C3 0.867 0.375 0.250
Cu1 0.500 0.500 0.000
C4 0.625 0.617 0.750
Cu2 0.750 0.250 0.500

Properties
ΔE_f	5.6	eV/f.u.
space-group type	I-42d (122)

=====

Entry 2:
The following is a DFT calculation (GGA-PBEsol) of a relaxed structure of CrRe2As.

Cell: 2.890 2.890 6.501 Å, 90.00 90.00 90.00°
Atoms (fractional coordinates):
Re1 0.500 0.500 0.256
Re2 0.000 0.000 0.990
Cr1 0.500 0.500 0.730
As1 0.000 0.000 0.524

Properties
ΔE_f	0.4	eV/f.u.
space-group type	P4mm (99)

=====

Entry 3:
The following is a DFT calculation (GGA-PBEsol) of a relaxed structure of LiY2Sc.

Cell: 3.380 3.380 11.001 Å, 81.16 81.16 60.00°
Atoms (fractional coordinates):
Y1 0.752 0.752 0.743
Y2 0.997 0.997 0.008
Sc1 0.248 0.248 0.257
Li1 0.503 0.503 0.492

Properties
ΔE_f	0.5	eV/f.u.
polymorph energy (0 for the lowest one)	0.053	eV per atom
space-group type	R3m (160)

=====

Entry 4:
The following is a DFT calculation (GGA-PBEsol) of a relaxed structure of Ti3FeOs.

Cell: 4.303 4.303 4.303 Å, 90.00 90.00 90.00°
Atoms (fractional coordinates):
Ti1 0.500 0.000 0.000
Fe1 0.000 0.000 0.000
Ti2 0.000 0.000 0.500
Ti3 0.000 0.500 0.000
Os1 0.500 0.500 0.500

Properties
ΔE_f	2.4	eV/f.u.
space-group type	Pm-3m (221)

=====

Entry 5:
The following is a DFT calculation (GGA-PBEsol) of a relaxed structure of Na3BeHg.

Cell: 5.564 5.564 5.564 Å, 90.00 90.00 90.00°
Atoms (fractional coordinates):
Na1 0.000 0.500 0.000
Hg1 0.000 0.000 0.000
Na2 0.000 0.000 0.500
Be1 0.500 0.500 0.500
Na3 0.500 0.000 0.000

Properties
ΔE_f	3.3	eV/f.u.
space-group type	Pm-3m (221)

=====

Entry 6:
The following is a DFT calculation (GGA-PBEsol) of a relaxed structure of MgTi3.

Cell: 4.106 4.106 4.106 Å, 90.00 90.00 90.00°
Atoms (fractional coordinates):
Mg1 0.000 0.000 0.000
Ti1 0.000 0.500 0.500
Ti2 0.500 0.000 0.500
Ti3 0.500 0.500 0.000

Properties
ΔE_f	0.7	eV/f.u.
space-group type	Pm-3m (221)

=====

Entry 7:
The following is a DFT calculation (GGA-PBEsol) of a relaxed structure of LiAl5.

Cell: 4.024 4.011 6.326 Å, 90.00 108.55 90.00°
Atoms (fractional coordinates):
Al1 0.335 0.500 0.669
Al2 0.000 0.500 0.000
Al3 0.166 0.000 0.333
Li1 0.500 0.000 0.000
Al4 0.665 0.500 0.331
Al5 0.834 0.000 0.667

Properties
ΔE_f	-0.3	eV/f.u.
polymorph energy (0 for the lowest one)	0.000	eV per atom
space-group type	Cmmm (65)

=====

Entry 8:
The following is a DFT calculation (GGA-PBEsol) of a relaxed structure of Na3Ge3Mo2O12.

Cell: 10.733 10.733 10.733 Å, 109.47 109.47 109.47°
Atoms (fractional coordinates):
Mo1 0.500 0.500 0.000
Ge1 0.750 0.125 0.375
Ge2 0.875 0.750 0.625
O1 0.011 0.113 0.695
O2 0.398 0.511 0.316
O3 0.989 0.102 0.184
O4 0.898 0.582 0.887
O5 0.184 0.582 0.695
O6 0.918 0.602 0.613
Ge3 0.375 0.625 0.750
O7 0.511 0.816 0.898
O8 0.195 0.184 0.082
O9 0.684 0.989 0.602
O10 0.418 0.805 0.316
O11 0.316 0.305 0.418
Na1 0.750 0.375 0.625
Ge4 0.875 0.125 0.750
O12 0.082 0.398 0.387
Na2 0.125 0.375 0.750
O13 0.695 0.613 0.011
O14 0.898 0.316 0.511
O15 0.602 0.489 0.684
Mo2 0.500 0.000 0.500
O16 0.511 0.695 0.113
Ge5 0.250 0.875 0.625
O17 0.305 0.387 0.989
O18 0.582 0.387 0.398
O19 0.816 0.418 0.305
O20 0.887 0.082 0.898
O21 0.805 0.816 0.918
Na3 0.375 0.250 0.625
Mo3 0.000 0.500 0.500
Ge6 0.125 0.250 0.375
Na4 0.250 0.625 0.375
O22 0.684 0.695 0.582
Ge7 0.625 0.250 0.875
O23 0.613 0.511 0.195
Mo4 0.000 0.000 0.500
O24 0.989 0.887 0.305
O25 0.195 0.011 0.613
O26 0.602 0.113 0.418
O27 0.582 0.195 0.684
Ge8 0.125 0.875 0.250
Ge9 0.250 0.375 0.125
O28 0.398 0.887 0.582
O29 0.613 0.102 0.918
O30 0.805 0.989 0.387
Mo5 0.000 0.500 0.000
O31 0.418 0.613 0.602
Na5 0.750 0.875 0.125
O32 0.816 0.398 0.011
O33 0.489 0.305 0.887
O34 0.695 0.082 0.184
O35 0.082 0.684 0.195
O36 0.316 0.011 0.398
Mo6 0.500 0.000 0.000
O37 0.387 0.898 0.082
O38 0.918 0.316 0.805
Na6 0.875 0.250 0.125
Na7 0.875 0.625 0.250
Na8 0.625 0.875 0.750
O39 0.011 0.898 0.816
Ge10 0.625 0.375 0.250
O40 0.387 0.489 0.805
O41 0.102 0.418 0.113
Na9 0.375 0.125 0.250
Mo7 0.000 0.000 0.000
O42 0.113 0.918 0.102
Ge11 0.375 0.750 0.125
O43 0.184 0.602 0.989
Na10 0.625 0.750 0.375
Mo8 0.500 0.500 0.500
O44 0.113 0.195 0.511
O45 0.887 0.805 0.489
O46 0.102 0.684 0.489
Ge12 0.750 0.625 0.875
Na11 0.125 0.750 0.875
O47 0.305 0.918 0.816
O48 0.489 0.184 0.102
Na12 0.250 0.125 0.875

Properties
space-group type	Ia-3d (230)
formation energy from raw total energies	-1.802	eV per atom

=====

Entry 9:
The following is a DFT calculation (GGA-PBEsol) of a relaxed structure of FeAgOs.

Cell: 2.634 2.634 6.964 Å, 96.16 96.16 115.62°
Atoms (fractional coordinates):
Ag1 0.005 0.005 0.010
Fe1 0.673 0.673 0.346
Os1 0.322 0.322 0.644

Properties
ΔE_f	1.5	eV/f.u.
polymorph energy (0 for the lowest one)	0.000	eV per atom
space-group type	Fmm2 (42)

=====

Entry 10:
The following is a DFT calculation (GGA-PBEsol) of a relaxed structure of KTcBr2.

Cell: 3.927 3.927 9.029 Å, 77.44 77.44 60.00°
Atoms (fractional coordinates):
Br1 0.879 0.879 0.363
Br2 0.121 0.121 0.637
K1 0.000 0.000 0.000
Tc1 0.500 0.500 0.500

Properties
polymorph energy (0 for the lowest one)	0.168	eV per atom
space-group type	R-3m (166)
formation energy from raw total energies	0.052	eV per atom

=====

Entry 11:
The following is a DFT calculation (GGA-PBEsol) of a relaxed structure of KYN3.

Cell: 4.130 4.130 4.130 Å, 90.00 90.00 90.00°
Atoms (fractional coordinates):
N1 0.000 0.500 0.000
N2 0.500 0.000 0.000
N3 0.000 0.000 0.500
K1 0.000 0.000 0.000
Y1 0.500 0.500 0.500

Properties
space-group type	Pm-3m (221)
formation energy from raw total energies	1.821	eV per atom

=====

Entry 12:
The following is a DFT calculation (GGA-PBEsol) of a relaxed structure of Ti3ZnOs.

Cell: 4.457 4.457 4.457 Å, 90.00 90.00 90.00°
Atoms (fractional coordinates):
Zn1 0.000 0.000 0.000
Ti1 0.000 0.000 0.500
Ti2 0.500 0.000 0.000
Os1 0.500 0.500 0.500
Ti3 0.000 0.500 0.000

Properties
ΔE_f	5.5	eV/f.u.
space-group type	Pm-3m (221)